Entry from the Alexandria database: a relaxed structure of NbV2Mo (PBE).

The total magnetization is 0.00 μB per formula unit. For the mass density, the calculation gives 7.3 Mg/m³. The calculation puts the calculated volume at 16.515 Å³ per atom. The total energy comes out at -73.05 eV/cell. Its crystal system is orthorhombic. The calculated formation energy is 2.6 eV per formula unit.

Structure (CIF):
```
data_NbV2Mo
_chemical_formula_sum 'Nb2 V4 Mo2'
_cell_length_a 2.9062
_cell_length_b 4.4662
_cell_length_c 10.1788
_cell_angle_alpha 90.00
_cell_angle_beta 90.00
_cell_angle_gamma 90.00
_symmetry_space_group_name_H-M 'I m m m'
_symmetry_Int_Tables_number 71
_symmetry_space_group_name_Hall '-I 2 2'
loop_
_atom_site_label
_atom_site_type_symbol
_atom_site_fract_x
_atom_site_fract_y
_atom_site_fract_z
_atom_site_occupancy
Nb1 Nb 0.0000 0.0000 0.0000 1
V1 V 0.0000 0.0000 0.2564 1
Mo1 Mo 0.0000 0.0000 0.5000 1
```

=====

Entry from the Alexandria database: a relaxed structure of Nb5VMo6 (PBE).

The total magnetization is 0.00 μB per formula unit. For the mass density, the calculation gives 9.1 Mg/m³. The calculation puts the calculated volume at 16.572 Å³ per atom. The total energy comes out at -251.73 eV/cell. Its crystal system is monoclinic. The calculated formation energy is -1.4 eV per formula unit.

Structure (CIF):
```
data_Nb5VMo6
_chemical_formula_sum 'Nb10 V2 Mo12'
_cell_length_a 7.8768
_cell_length_b 13.5752
_cell_length_c 4.5539
_cell_angle_alpha 90.00
_cell_angle_beta 125.24
_cell_angle_gamma 90.00
_symmetry_space_group_name_H-M 'C 1 2/m 1'
_symmetry_Int_Tables_number 12
_symmetry_space_group_name_Hall '-C 2y'
loop_
_atom_site_label
_atom_site_type_symbol
_atom_site_fract_x
_atom_site_fract_y
_atom_site_fract_z
_atom_site_occupancy
Nb1 Nb 0.0000 0.0000 0.0000 1
Nb2 Nb 0.0000 0.1666 0.5000 1
Nb3 Nb 0.0000 0.3349 0.0000 1
V1 V 0.0000 0.5000 0.5000 1
Mo1 Mo 0.2454 0.5000 0.2456 1
Mo2 Mo 0.2476 0.3355 0.7476 1
```

=====

Question: What is the calculated formation energy in the first record?
Answer: 2.6 eV per formula unit

=====

Copy entry 2 word for word.
Entry from the Alexandria database: a relaxed structure of Nb5VMo6 (PBE).

The total magnetization is 0.00 μB per formula unit. For the mass density, the calculation gives 9.1 Mg/m³. The calculation puts the calculated volume at 16.572 Å³ per atom. The total energy comes out at -251.73 eV/cell. Its crystal system is monoclinic. The calculated formation energy is -1.4 eV per formula unit.

Structure (CIF):
```
data_Nb5VMo6
_chemical_formula_sum 'Nb10 V2 Mo12'
_cell_length_a 7.8768
_cell_length_b 13.5752
_cell_length_c 4.5539
_cell_angle_alpha 90.00
_cell_angle_beta 125.24
_cell_angle_gamma 90.00
_symmetry_space_group_name_H-M 'C 1 2/m 1'
_symmetry_Int_Tables_number 12
_symmetry_space_group_name_Hall '-C 2y'
loop_
_atom_site_label
_atom_site_type_symbol
_atom_site_fract_x
_atom_site_fract_y
_atom_site_fract_z
_atom_site_occupancy
Nb1 Nb 0.0000 0.0000 0.0000 1
Nb2 Nb 0.0000 0.1666 0.5000 1
Nb3 Nb 0.0000 0.3349 0.0000 1
V1 V 0.0000 0.5000 0.5000 1
Mo1 Mo 0.2454 0.5000 0.2456 1
Mo2 Mo 0.2476 0.3355 0.7476 1
```

=====

Copy entry 1 word for word.
Entry from the Alexandria database: a relaxed structure of NbV2Mo (PBE).

The total magnetization is 0.00 μB per formula unit. For the mass density, the calculation gives 7.3 Mg/m³. The calculation puts the calculated volume at 16.515 Å³ per atom. The total energy comes out at -73.05 eV/cell. Its crystal system is orthorhombic. The calculated formation energy is 2.6 eV per formula unit.

Structure (CIF):
```
data_NbV2Mo
_chemical_formula_sum 'Nb2 V4 Mo2'
_cell_length_a 2.9062
_cell_length_b 4.4662
_cell_length_c 10.1788
_cell_angle_alpha 90.00
_cell_angle_beta 90.00
_cell_angle_gamma 90.00
_symmetry_space_group_name_H-M 'I m m m'
_symmetry_Int_Tables_number 71
_symmetry_space_group_name_Hall '-I 2 2'
loop_
_atom_site_label
_atom_site_type_symbol
_atom_site_fract_x
_atom_site_fract_y
_atom_site_fract_z
_atom_site_occupancy
Nb1 Nb 0.0000 0.0000 0.0000 1
V1 V 0.0000 0.0000 0.2564 1
Mo1 Mo 0.0000 0.0000 0.5000 1
```